[1]
DFT (PBE) results for Zr4Tc5 after structural relaxation.

Calculated values
Calculated formation energy, meV/atom: -98
Excess energy over the best structure of this formula in the dataset, meV/atom: 0.0

a b c (Å): 7.1917 7.1917 7.1917
angles (deg): 92.92 92.92 153.89
With the nearest neighbours (Å) after each atom.
Sites, in units of the cell vectors:
Tc 0.3346 0.3346 0.6692  4 Zr 2.72, 4 Tc 2.83-2.87
Zr 0.6898 0.0000 0.6898  4 Tc 2.72
Zr 0.0000 0.6898 0.6898  4 Tc 2.72
Tc 0.6654 0.6654 0.3308  4 Zr 2.72, 4 Tc 2.83-2.87
Zr 0.3102 0.0000 0.3102  4 Tc 2.72
Zr 0.0000 0.3102 0.3102  4 Tc 2.72
Tc 0.3346 0.6654 0.0000  4 Zr 2.72, 4 Tc 2.83-2.87
Tc 0.0000 0.0000 0.0000  8 Tc 2.83, 4 Zr 3.07
Tc 0.6654 0.3346 0.0000  4 Zr 2.72, 4 Tc 2.83-2.87

=====

[2]
DFT (PBE) results for Nd8AsOs3Br4 after structural relaxation.

Calculated values
Formation energy (no corrections), eV per atom: -0.845

a b c (Å): 8.4169 9.0980 8.4165
angles (deg): 117.56 120.00 90.00
With the nearest neighbours (Å) after each atom.
Sites, in units of the cell vectors:
Br 0.5000 0.0000 0.0000  6 Nd 3.30
As 0.0000 0.5000 0.0000  6 Nd 2.95
Os 0.5000 0.5000 0.5000  6 Nd 2.81-2.89
Os 0.5000 0.5000 0.0000  6 Nd 2.81-2.89
Os 0.0000 0.5000 0.5000  6 Nd 2.81-2.89
Nd 0.7605 0.3048 0.5211  2 Os 2.81, 1 As 2.95
Nd 0.2837 0.3048 0.0442  2 Os 2.81, 1 As 2.95
Nd 0.2657 0.2972 0.5314  3 Os 2.89
Br 0.0000 0.0000 0.5000  6 Nd 3.34-3.42
Nd 0.2395 0.6952 0.9558  2 Os 2.81, 1 As 2.95
Br 0.0000 0.0000 0.0000  6 Nd 3.34-3.42
Nd 0.2395 0.6952 0.4789  2 Os 2.81, 1 As 2.95
Br 0.5000 0.0000 0.5000  6 Nd 3.34-3.42
Nd 0.7343 0.7028 0.4686  3 Os 2.89
Nd 0.7163 0.6952 0.9558  2 Os 2.81, 1 As 2.95
Nd 0.7605 0.3048 0.0442  2 Os 2.81, 1 As 2.95

=====

[3]
DFT (PBE) results for NaNi2Ru2 after structural relaxation.

Calculated values
Calculated formation energy, meV/atom: 346
Excess energy over the best structure of this formula in the dataset, meV/atom: 0.0

a b c (Å): 7.5660 7.5660 2.5363
angles (deg): 90.00 90.00 90.00
With the nearest neighbours (Å) after each atom.
Sites, in units of the cell vectors:
Ru 0.8817 0.6183 0.0000  3 Ru 2.53-2.54, 6 Ni 2.53-2.60
Na 0.5000 0.5000 0.0000  2 Na 2.54
Ni 0.8233 0.3233 0.5000  6 Ru 2.53-2.60, 2 Ni 2.54
Ru 0.3817 0.8817 0.0000  3 Ru 2.53-2.54, 6 Ni 2.53-2.60
Ru 0.6183 0.1183 0.0000  3 Ru 2.53-2.54, 6 Ni 2.53-2.60
Ni 0.3233 0.1767 0.5000  6 Ru 2.53-2.60, 2 Ni 2.54
Ru 0.1183 0.3817 0.0000  3 Ru 2.53-2.54, 6 Ni 2.53-2.60
Na 0.0000 0.0000 0.0000  2 Na 2.54
Ni 0.1767 0.6767 0.5000  6 Ru 2.53-2.60, 2 Ni 2.54
Ni 0.6767 0.8233 0.5000  6 Ru 2.53-2.60, 2 Ni 2.54

=====

[4]
DFT (PBE) results for Zn3Bi3N5 after structural relaxation.

Calculated values
Formation energy (no corrections), eV per atom: 0.445

a b c (Å): 6.3109 6.4045 9.4970
angles (deg): 80.39 87.20 86.75
With the nearest neighbours (Å) after each atom.
Sites, in units of the cell vectors:
N 0.2829 0.0590 0.5501  2 Zn 1.94-2.00
N 0.1530 0.5520 0.6035  2 Zn 2.00-2.05, 1 Bi 2.22
Zn 0.8852 0.6826 0.5144  3 N 1.94-2.05
Zn 0.0955 0.9472 0.7181  3 N 2.00-2.02
N 0.6181 0.7625 0.0554  2 Zn 2.16-2.29, 2 Bi 2.22-2.25
Bi 0.3846 0.8036 0.4218  3 N 2.25-2.36
Bi 0.3869 0.3077 0.1651  3 N 2.22-2.31
Bi 0.8764 0.5435 0.1607  3 N 2.22-2.28
N 0.2138 0.9962 0.2297  2 Zn 2.00-2.02
N 0.7379 0.2347 0.1298  2 Zn 2.00-2.01
N 0.2621 0.7653 0.8702  2 Zn 2.00-2.01
Bi 0.6131 0.6923 0.8349  3 N 2.22-2.31
Zn 0.7024 0.1007 0.9560  3 N 2.00-2.16
Bi 0.1236 0.4565 0.8393  3 N 2.22-2.28
N 0.8470 0.4480 0.3965  2 Zn 2.00-2.05, 1 Bi 2.22
N 0.3819 0.2375 0.9446  2 Zn 2.16-2.29, 2 Bi 2.22-2.25
N 0.7171 0.9410 0.4499  2 Zn 1.94-2.00
Zn 0.2976 0.8993 0.0440  3 N 2.00-2.16
Zn 0.1148 0.3174 0.4856  3 N 1.94-2.05
N 0.7862 0.0038 0.7703  2 Zn 2.00-2.02
Zn 0.9045 0.0528 0.2819  3 N 2.00-2.02
Bi 0.6154 0.1964 0.5782  3 N 2.25-2.36

=====

[5]
DFT (PBE) results for Dy5Ho12Er2 after structural relaxation.

Calculated values
Calculated formation energy, meV/atom: 126
Excess energy over the best structure of this formula in the dataset, meV/atom: 36.3

a b c (Å): 9.1681 8.9584 8.5081
angles (deg): 91.76 90.00 120.78
With the nearest neighbours (Å) after each atom.
Sites, in units of the cell vectors:
Dy 0.2945 0.5891 0.9790  8 Ho 3.46-3.63, 2 Er 3.54, 1 Dy 3.57
Ho 0.4429 0.8858 0.6636  2 Dy 3.33-3.59, 7 Ho 3.35-3.49, 2 Er 3.36
Ho 0.3292 0.2986 0.2395  4 Ho 3.30-3.66, 1 Er 3.31, 4 Dy 3.47-3.64
Dy 0.2308 0.4615 0.5715  8 Ho 3.33-3.58, 2 Dy 3.57-3.58
Ho 0.1783 0.7407 0.3303  4 Dy 3.34-3.72, 5 Ho 3.37-3.52, 1 Er 3.51
Ho 0.0752 0.1504 0.8742  3 Ho 3.21-3.44, 3 Dy 3.35-3.58, 2 Er 3.40
Er 0.6727 0.0000 0.0000  1 Er 3.17, 8 Ho 3.31-3.51, 2 Dy 3.54
Ho 0.8217 0.2593 0.6697  4 Dy 3.34-3.72, 5 Ho 3.37-3.52, 1 Er 3.51
Ho 0.5624 0.7407 0.3303  4 Dy 3.34-3.72, 5 Ho 3.37-3.52, 1 Er 3.51
Ho 0.9248 0.8496 0.1258  3 Ho 3.21-3.44, 3 Dy 3.35-3.58, 2 Er 3.40
Dy 0.0000 0.0000 0.5000  10 Ho 3.35-3.72, 2 Dy 3.58
Ho 0.0306 0.7014 0.7605  4 Ho 3.30-3.66, 1 Er 3.31, 4 Dy 3.47-3.64
Er 0.3273 0.0000 0.0000  1 Er 3.17, 8 Ho 3.31-3.51, 2 Dy 3.54
Ho 0.9694 0.2986 0.2395  4 Ho 3.30-3.66, 1 Er 3.31, 4 Dy 3.47-3.64
Ho 0.5571 0.1142 0.3364  2 Dy 3.33-3.59, 7 Ho 3.35-3.49, 2 Er 3.36
Ho 0.4376 0.2593 0.6697  4 Dy 3.34-3.72, 5 Ho 3.37-3.52, 1 Er 3.51
Dy 0.7055 0.4109 0.0210  8 Ho 3.46-3.63, 2 Er 3.54, 1 Dy 3.57
Dy 0.7692 0.5385 0.4285  8 Ho 3.33-3.58, 2 Dy 3.57-3.58
Ho 0.6708 0.7014 0.7605  4 Ho 3.30-3.66, 1 Er 3.31, 4 Dy 3.47-3.64

=====

[6]
DFT (PBE) results for Cs2AgHg3 after structural relaxation.

Calculated values
Calculated formation energy, meV/atom: -175

a b c (Å): 5.2701 7.2966 7.2976
angles (deg): 87.12 68.83 68.83
With the nearest neighbours (Å) after each atom.
Sites, in units of the cell vectors:
Hg 0.8156 0.1849 0.1839  2 Ag 2.95, 1 Hg 3.20
Cs 0.4985 0.7566 0.2465  9 Hg 3.87-4.06, 3 Ag 3.89-4.00
Hg 0.1651 0.8342 0.8356  3 Hg 3.14-3.20
Cs 0.4996 0.2453 0.7556  9 Hg 3.87-4.06, 3 Ag 3.89-4.00
Hg 0.8511 0.6485 0.6493  1 Ag 2.93, 2 Hg 3.14
Ag 0.1702 0.3305 0.3291  3 Hg 2.93-2.95

=====

[7]
DFT (PBE) results for Li2ZnBiH after structural relaxation.

Calculated values
Total energy, Ry per atom: -0.1985

a b c (Å): 4.1991 4.1991 4.3939
angles (deg): 90.00 90.00 90.00
With the nearest neighbours (Å) after each atom.
Sites, in units of the cell vectors:
H 0.0000 0.0000 0.0000  4 Li 2.10, 2 Zn 2.20
Li 0.5000 0.0000 0.0000  2 H 2.10
Zn 0.0000 0.0000 0.5000  2 H 2.20
Li 0.0000 0.5000 0.0000  2 H 2.10
Bi 0.5000 0.5000 0.5000  4 Zn 2.97, 8 Li 3.04

=====

[8]
DFT (PBE) results for LiAcSi4 after structural relaxation.

Calculated values
Formation energy (no corrections), eV per atom: -0.225
Excess energy over the best structure of this formula in the dataset, meV/atom: 0.0

a b c (Å): 4.3147 8.1576 14.2296
angles (deg): 90.00 90.00 90.00
With the nearest neighbours (Å) after each atom.
Sites, in units of the cell vectors:
Si 0.5000 0.3770 0.0425  3 Si 2.31-2.36
Si 0.5000 0.1230 0.5425  3 Si 2.31-2.36
Si 0.5000 0.7440 0.1902  3 Si 2.30-2.40
Ac 0.0000 0.3856 0.6470  12 Si 3.29-3.57
Li 0.0000 0.6157 0.0883  10 Si 2.80-3.08
Si 0.5000 0.2560 0.8098  3 Si 2.30-2.40
Si 0.5000 0.3722 0.4589  3 Si 2.36-2.39
Li 0.0000 0.3843 0.9117  10 Si 2.80-3.08
Si 0.5000 0.9502 0.3003  3 Si 2.30-2.40
Si 0.5000 0.0498 0.6997  3 Si 2.30-2.40
Si 0.5000 0.2440 0.3098  3 Si 2.30-2.40
Si 0.5000 0.6230 0.9575  3 Si 2.31-2.36
Si 0.5000 0.1278 0.9589  3 Si 2.36-2.39
Si 0.5000 0.5498 0.8003  3 Si 2.30-2.40
Si 0.5000 0.4502 0.1997  3 Si 2.30-2.40
Si 0.5000 0.7560 0.6902  3 Si 2.30-2.40
Si 0.5000 0.6278 0.5411  3 Si 2.36-2.39
Li 0.0000 0.8843 0.5883  10 Si 2.80-3.08
Li 0.0000 0.1157 0.4117  10 Si 2.80-3.08
Ac 0.0000 0.1144 0.1470  12 Si 3.29-3.57
Si 0.5000 0.8770 0.4575  3 Si 2.31-2.36
Ac 0.0000 0.8856 0.8530  12 Si 3.29-3.57
Ac 0.0000 0.6144 0.3530  12 Si 3.29-3.57
Si 0.5000 0.8722 0.0411  3 Si 2.36-2.39

=====

| no. | magnetization (μB/f.u.) |
| --- | --- |
| 1 | 0.00 |
| 2 | 0.00 |
| 3 | 0.00 |
| 4 | 0.00 |
| 5 | 0.00 |
| 6 | 0.00 |
| 7 | 0.00 |
| 8 | 0.00 |